Entry 1:
Entry from the Alexandria database: a relaxed structure of Hf2ZrPt9 (PBE-GGA).

a = 4.039 Å, b = 4.039 Å, c = 12.117 Å
α = 90.00°, β = 90.00°, γ = 90.00°
Positions (direct):
Hf (0.000, 0.000, 0.334)
Hf (0.000, 0.000, 0.666)
Zr (0.000, 0.000, 0.000)
Pt (0.500, 0.500, 0.000)
Pt (0.500, 0.500, 0.334)
Pt (0.500, 0.500, 0.666)
Pt (0.500, 0.000, 0.168)
Pt (0.500, 0.000, 0.500)
Pt (0.500, 0.000, 0.832)
Pt (0.000, 0.500, 0.168)
Pt (0.000, 0.500, 0.500)
Pt (0.000, 0.500, 0.832)

Results
The energy of formation is -1.08 eV/atom.

Entry 2:
Entry from the Alexandria database: a relaxed structure of Pm3Sm (PBE-GGA).

a = 6.334 Å, b = 7.319 Å, c = 11.803 Å
α = 90.00°, β = 90.00°, γ = 90.00°
Positions (direct):
Pm (0.084, 0.125, 0.750)
Pm (0.750, 0.625, 0.000)
Pm (0.750, 0.625, 0.500)
Pm (0.750, 0.125, 0.500)
Pm (0.750, 0.125, 0.000)
Pm (0.416, 0.625, 0.250)
Pm (0.584, 0.375, 0.750)
Pm (0.250, 0.875, 0.000)
Pm (0.250, 0.875, 0.500)
Pm (0.250, 0.375, 0.500)
Pm (0.250, 0.375, 0.000)
Pm (0.916, 0.875, 0.250)
Sm (0.917, 0.375, 0.250)
Sm (0.583, 0.875, 0.750)
Sm (0.417, 0.125, 0.250)
Sm (0.083, 0.625, 0.750)

Results
The energy of formation is 0.00 eV/atom. For the distance to the lowest polymorph of the same formula, the calculation gives 0 meV per atom.

Entry 3:
Entry from the Alexandria database: a relaxed structure of HfTeAu3 (PBE-GGA).

a = 5.212 Å, b = 5.212 Å, c = 5.212 Å
α = 90.00°, β = 90.00°, γ = 90.00°
Positions (direct):
Hf (0.000, 0.000, 0.000)
Te (0.500, 0.500, 0.500)
Au (0.000, 0.500, 0.000)
Au (0.000, 0.000, 0.500)
Au (0.500, 0.000, 0.000)

Results
For the formation energy without anion corrections, the calculation gives 0.658 eV/atom. For the distance to the lowest polymorph of the same formula, the calculation gives 0 meV per atom.

| no. | magnetic moment (μB/cell) | final energy (eV per cell) |
| --- | --- | --- |
| 1 | 0.0 | -95.81 |
| 2 | 0.0 | -75.86 |
| 3 | 0.0 | -19.64 |